Record 1
Density functional theory data (PBE-GGA) for a relaxed structure of RbHf3Au.

```
data_RbHf3Au
_symmetry_space_group_name_H-M 'P m -3 m'
_symmetry_Int_Tables_number 221
_symmetry_space_group_name_Hall '-P 4 2 3'
_cell_length_a 4.974
_cell_length_b 4.974
_cell_length_c 4.974
_cell_angle_alpha 90.00
_cell_angle_beta 90.00
_cell_angle_gamma 90.00
loop_
_atom_site_label
_atom_site_fract_x
_atom_site_fract_y
_atom_site_fract_z
_atom_site_occupancy
Rb1 0.000 0.000 0.000 1
Hf1 0.000 0.000 0.500 1
Au1 0.500 0.500 0.500 1
```

Output
As for the density of states at the Fermi level: 1.518 states/eV/atom. The calculation puts the formation energy at 2.30 eV per atom.

***

Record 2
Density functional theory data (PBE-GGA) for a relaxed structure of TlNi2P.

```
data_TlNi2P
_symmetry_space_group_name_H-M 'P 4/m m m'
_symmetry_Int_Tables_number 123
_symmetry_space_group_name_Hall '-P 4 2'
_cell_length_a 2.954
_cell_length_b 2.954
_cell_length_c 6.907
_cell_angle_alpha 90.00
_cell_angle_beta 90.00
_cell_angle_gamma 90.00
loop_
_atom_site_label
_atom_site_fract_x
_atom_site_fract_y
_atom_site_fract_z
_atom_site_occupancy
Tl1 0.000 0.000 0.000 1
Ni1 0.500 0.500 0.325 1
P1 0.000 0.000 0.500 1
```

Output
As for the density of states at the Fermi level: 0.844 states/eV/atom. The calculation puts the formation energy at 0.07 eV per atom.

***

Record 3
Density functional theory data (PBE-GGA) for a relaxed structure of SrCdCl2.

```
data_SrCdCl2
_symmetry_space_group_name_H-M 'I -4 m 2'
_symmetry_Int_Tables_number 119
_symmetry_space_group_name_Hall 'I -4 -2'
_cell_length_a 4.508
_cell_length_b 4.508
_cell_length_c 10.777
_cell_angle_alpha 90.00
_cell_angle_beta 90.00
_cell_angle_gamma 90.00
loop_
_atom_site_label
_atom_site_fract_x
_atom_site_fract_y
_atom_site_fract_z
_atom_site_occupancy
Sr1 0.000 0.000 0.000 1
Cd1 0.000 0.500 0.750 1
Cl1 0.000 0.000 0.500 1
Cl2 0.000 0.500 0.250 1
```

Output
The formation energy (no corrections) comes out at -1.34 eV per atom.

***

Record 4
Density functional theory data (PBE-GGA) for a relaxed structure of HoTm2Cd3.

```
data_HoTm2Cd3
_symmetry_space_group_name_H-M 'P 4/m m m'
_symmetry_Int_Tables_number 123
_symmetry_space_group_name_Hall '-P 4 2'
_cell_length_a 3.710
_cell_length_b 3.710
_cell_length_c 11.104
_cell_angle_alpha 90.00
_cell_angle_beta 90.00
_cell_angle_gamma 90.00
loop_
_atom_site_label
_atom_site_fract_x
_atom_site_fract_y
_atom_site_fract_z
_atom_site_occupancy
Ho1 0.000 0.000 0.000 1
Tm1 0.000 0.000 0.334 1
Cd1 0.500 0.500 0.169 1
Cd2 0.500 0.500 0.500 1
```

Output
As for the density of states at the Fermi level: 0.833 states/eV/atom. The calculation puts the formation energy at -0.31 eV per atom.

***

The evaluated VASP energy for the records listed, in turn: -4.52, -4.76, -2.91, -3.02 eV per atom.
The evaluated total magnetic moment for the records listed, in turn: 0.00, 0.00, 0.00, 0.00 μB per cell.